# ThSn2Rh9

A geometry-optimized ThSn2Rh9 structure (PBE-GGA, the Alexandria database).

Lattice parameters (Å, degrees): 4.0481 4.0481 11.9358 90.00 90.00 90.00
Fractional coordinates of all 12 atoms:
1 Th 0.0000 0.0000 0.0000
2 Sn 0.0000 0.0000 0.3403
3 Sn 0.0000 0.0000 0.6597
4 Rh 0.0000 0.5000 0.1782
5 Rh 0.0000 0.5000 0.5000
6 Rh 0.0000 0.5000 0.8218
7 Rh 0.5000 0.0000 0.1782
8 Rh 0.5000 0.0000 0.5000
9 Rh 0.5000 0.0000 0.8218
10 Rh 0.5000 0.5000 0.0000
11 Rh 0.5000 0.5000 0.3353
12 Rh 0.5000 0.5000 0.6647

Values from the calculation:
**V**: 195.6 Å³ per cell
**Calculated total energy**: -7.191 eV per atom
**DOS(E_F)**: 13.5 states/eV per cell



# ThSn4Rh4

A geometry-optimized ThSn4Rh4 structure (PBE-GGA, the Alexandria database).

Lattice parameters (Å, degrees): 8.8322 8.8322 5.1506 90.00 90.00 90.00
Fractional coordinates of all 18 atoms:
1 Th 0.2500 0.2500 0.2500
2 Th 0.7500 0.7500 0.7500
3 Sn 0.0990 0.6584 0.2479
4 Sn 0.1584 0.9010 0.7479
5 Sn 0.3416 0.5990 0.7479
6 Sn 0.4010 0.8416 0.2479
7 Sn 0.5990 0.1584 0.7521
8 Sn 0.6584 0.4010 0.2521
9 Sn 0.8416 0.0990 0.2521
10 Sn 0.9010 0.3416 0.7521
11 Rh 0.0274 0.6099 0.7478
12 Rh 0.1099 0.9726 0.2478
13 Rh 0.3901 0.5274 0.2478
14 Rh 0.4726 0.8901 0.7478
15 Rh 0.5274 0.1099 0.2522
16 Rh 0.6099 0.4726 0.7522
17 Rh 0.8901 0.0274 0.7522
18 Rh 0.9726 0.3901 0.2522

Values from the calculation:
**V**: 401.8 Å³ per cell
**Calculated total energy**: -6.315 eV per atom
**DOS(E_F)**: 7.1 states/eV per cell



# ThSn2Rh

A geometry-optimized ThSn2Rh structure (PBE-GGA, the Alexandria database).

Lattice parameters (Å, degrees): 10.6805 10.6805 10.6805 17.92 17.92 17.92
Fractional coordinates of all 4 atoms:
1 Th 0.0000 0.0000 0.0000
2 Sn 0.1041 0.1041 0.1041
3 Sn 0.8959 0.8959 0.8959
4 Rh 0.5000 0.5000 0.5000

Values from the calculation:
**V**: 100.7 Å³ per cell
**Calculated total energy**: -5.739 eV per atom
**DOS(E_F)**: 3.5 states/eV per cell



DOS(E_F) of number 1 (ThSn2Rh9)?
13.5 states/eV per cell